(1)
# PBE Sm6Er2Zn, relaxed
# Energy relative to the elements: 0.011 eV per atom
# D(E_F): 1.44 states/eV/atom
data_Sm6Er2Zn
_symmetry_space_group_name_H-M 'P n n m'
_symmetry_Int_Tables_number 58
_cell_length_a 10.168
_cell_length_b 10.190
_cell_length_c 5.411
_cell_angle_alpha 90.00
_cell_angle_beta 90.00
_cell_angle_gamma 90.00
loop_
_symmetry_equiv_pos_as_xyz
'x,y,z'
'-x,-y,-z'
'-x,-y,z'
'x,y,-z'
'x+1/2,-y+1/2,-z+1/2'
'-x+1/2,y+1/2,z+1/2'
'-x+1/2,y+1/2,-z+1/2'
'x+1/2,-y+1/2,z+1/2'
loop_
_atom_site_label
_atom_site_type_symbol
_atom_site_fract_x
_atom_site_fract_y
_atom_site_fract_z
Sm1 Sm 0.040 0.187 0.000
Sm2 Sm 0.123 0.621 0.500
Sm3 Sm 0.187 0.956 0.500
Er1 Er 0.214 0.283 0.500
Zn1 Zn 0.000 0.500 0.000

---

(2)
# PBE Sm6ErZn, relaxed
# Energy relative to the elements: 0.035 eV per atom
# D(E_F): 1.39 states/eV/atom
data_Sm6ErZn
_symmetry_space_group_name_H-M 'P -1'
_symmetry_Int_Tables_number 2
_cell_length_a 6.348
_cell_length_b 6.350
_cell_length_c 6.351
_cell_angle_alpha 95.56
_cell_angle_beta 95.58
_cell_angle_gamma 95.48
loop_
_symmetry_equiv_pos_as_xyz
'x,y,z'
'-x,-y,-z'
loop_
_atom_site_label
_atom_site_type_symbol
_atom_site_fract_x
_atom_site_fract_y
_atom_site_fract_z
Sm1 Sm 0.044 0.263 0.074
Sm2 Sm 0.237 0.925 0.456
Sm3 Sm 0.426 0.456 0.737
Er1 Er 0.500 0.000 0.000
Zn1 Zn 0.000 0.500 0.500

---

(3)
# PBE SmErZr, relaxed
# Energy relative to the elements: 0.089 eV per atom
# D(E_F): 1.47 states/eV/atom
# Energy relative to the lowest polymorph listed for this composition: 0.000 eV/atom
data_SmErZr
_symmetry_space_group_name_H-M 'I 4 m m'
_symmetry_Int_Tables_number 107
_symmetry_space_group_name_Hall 'I 4 -2'
_cell_length_a 3.401
_cell_length_b 3.401
_cell_length_c 14.840
_cell_angle_alpha 90.00
_cell_angle_beta 90.00
_cell_angle_gamma 90.00
loop_
_atom_site_label
_atom_site_type_symbol
_atom_site_fract_x
_atom_site_fract_y
_atom_site_fract_z
Sm1 Sm 0.000 0.000 0.000
Er1 Er 0.000 0.000 0.688
Zr1 Zr 0.000 0.000 0.339

---

> Which value of D(E_F) does entry 2 give?

1.39 states/eV/atom

---

> What is the D(E_F) in the third record?

1.47 states/eV/atom

---

> Number 1 is which compound?

Sm6Er2Zn